# Ce2IrCl | the Alexandria database | GGA-PBE | optimized geometry
# * uncorrected energy: -6.670 eV per atom
# * ΔE to the lowest computed polymorph: 131 meV per atom
# * size of the total moment: 0.496 μB/atom
# * raw formation energy: -1.03 eV per atom
# * theoretical density: 9.31 g/cm3
data_Ce2IrCl
_chemical_formula_sum 'Ce2 Ir1 Cl1'
_space_group_name_H-M_alt 'P 4/m m m'
_space_group_IT_number 123
_space_group_name_Hall '-P 4 2'
_cell_length_a 3.374
_cell_length_b 3.374
_cell_length_c 7.961
_cell_angle_alpha 90.00
_cell_angle_beta 90.00
_cell_angle_gamma 90.00
loop_
_atom_site_label
_atom_site_fract_x
_atom_site_fract_y
_atom_site_fract_z
Ce1 0.000 0.000 0.225
Ir1 0.500 0.500 0.000
Cl1 0.500 0.500 0.500